1.
# Ni2RuPb, relaxed, DFT PBE
data_Ni2RuPb
_cell_length_a 2.936
_cell_length_b 3.629
_cell_length_c 5.701
_cell_angle_alpha 90.00
_cell_angle_beta 90.28
_cell_angle_gamma 90.00
_symmetry_space_group_name_H-M 'P 1'
_symmetry_Int_Tables_number 1
loop_
_symmetry_equiv_pos_as_xyz
'x,y,z'
loop_
_atom_site_label
_atom_site_type_symbol
_atom_site_fract_x
_atom_site_fract_y
_atom_site_fract_z
Ni1 Ni 0.002 0.000 0.210
Ni2 Ni 0.998 0.000 0.790
Ru1 Ru 0.500 0.500 0.000
Pb1 Pb 0.500 0.500 0.500
# - energy relative to the elements (eV/atom) = 0.38
# - magnetization (Bohr magnetons per cell) = 0.0
# - electronic total energy (eV per atom) = -5.754
# - N(E_F) (states/eV per atom) = 1.58


2.
# NiRuPb, relaxed, DFT PBE
data_NiRuPb
_cell_length_a 5.984
_cell_length_b 5.984
_cell_length_c 5.984
_cell_angle_alpha 90.00
_cell_angle_beta 90.00
_cell_angle_gamma 90.00
_symmetry_space_group_name_H-M 'P 1'
_symmetry_Int_Tables_number 1
loop_
_symmetry_equiv_pos_as_xyz
'x,y,z'
loop_
_atom_site_label
_atom_site_type_symbol
_atom_site_fract_x
_atom_site_fract_y
_atom_site_fract_z
Ni1 Ni 0.000 0.000 0.000
Ni2 Ni 0.000 0.500 0.500
Ni3 Ni 0.500 0.000 0.500
Ni4 Ni 0.500 0.500 0.000
Ru1 Ru 0.250 0.250 0.250
Ru2 Ru 0.250 0.750 0.750
Ru3 Ru 0.750 0.250 0.750
Ru4 Ru 0.750 0.750 0.250
Pb1 Pb 0.250 0.250 0.750
Pb2 Pb 0.250 0.750 0.250
Pb3 Pb 0.750 0.250 0.250
Pb4 Pb 0.750 0.750 0.750
# - energy relative to the elements (eV/atom) = 0.53
# - magnetization (Bohr magnetons per cell) = 0.0
# - electronic total energy (eV per atom) = -5.722
# - N(E_F) (states/eV per atom) = 2.28